[1]
Zr2PtSe after structural relaxation, computed with PBE.

Output
DOS at the Fermi energy = 3.50 states/eV/f.u.

The structure in CIF format:
```
data_Zr2PtSe
_cell_length_a 3.244
_cell_length_b 3.198
_cell_length_c 7.338
_cell_angle_alpha 90.00
_cell_angle_beta 90.13
_cell_angle_gamma 90.00
_symmetry_space_group_name_H-M 'P 1 2/m 1'
_symmetry_Int_Tables_number 10
loop_
_symmetry_equiv_pos_as_xyz
'x,y,z'
'-x,-y,-z'
'-x,y,-z'
'x,-y,z'
loop_
_atom_site_label
_atom_site_type_symbol
_atom_site_fract_x
_atom_site_fract_y
_atom_site_fract_z
_atom_site_occupancy
Zr1 Zr 0.002 0.000 0.249 1
Pt1 Pt 0.500 0.500 0.000 1
Se1 Se 0.500 0.500 0.500 1
```

[2]
ZrPt2Se after structural relaxation, computed with PBE.

Output
DOS at the Fermi energy = 0.53 states/eV/f.u.

The structure in CIF format:
```
data_ZrPt2Se
_cell_length_a 6.016
_cell_length_b 6.016
_cell_length_c 11.105
_cell_angle_alpha 90.00
_cell_angle_beta 90.00
_cell_angle_gamma 90.00
_symmetry_space_group_name_H-M 'I -4 2 d'
_symmetry_Int_Tables_number 122
_symmetry_space_group_name_Hall 'I -4 2bw'
loop_
_atom_site_label
_atom_site_type_symbol
_atom_site_fract_x
_atom_site_fract_y
_atom_site_fract_z
_atom_site_occupancy
Zr1 Zr 0.000 0.000 0.000 1
Pt1 Pt 0.229 0.250 0.625 1
Se1 Se 0.000 0.000 0.500 1
```

[3]
ZrPtSe2 after structural relaxation, computed with PBE.

Output
E above lowest polymorph = 348 meV/atom
DOS at the Fermi energy = 3.75 states/eV/f.u.

The structure in CIF format:
```
data_ZrPtSe2
_cell_length_a 3.6228
_cell_length_b 3.6228
_cell_length_c 24.5637
_cell_angle_alpha 90.00
_cell_angle_beta 90.00
_cell_angle_gamma 120.00
_symmetry_space_group_name_H-M 'R -3 m'
_symmetry_Int_Tables_number 166
_symmetry_space_group_name_Hall '-R 3 2"'
loop_
_atom_site_label
_atom_site_type_symbol
_atom_site_fract_x
_atom_site_fract_y
_atom_site_fract_z
_atom_site_occupancy
Zr1 Zr 0.0000 0.0000 0.0000 1
Pt1 Pt 0.0000 0.0000 0.5000 1
Se1 Se 0.0000 0.0000 0.4024 1
```

[4]
ZrPtSe2 after structural relaxation, computed with PBE.

Output
E above lowest polymorph = 485 meV/atom
DOS at the Fermi energy = 2.24 states/eV/f.u.

The structure in CIF format:
```
data_ZrPtSe2
_cell_length_a 5.689
_cell_length_b 8.717
_cell_length_c 4.334
_cell_angle_alpha 90.00
_cell_angle_beta 130.83
_cell_angle_gamma 90.00
_symmetry_space_group_name_H-M 'C 1 2/m 1'
_symmetry_Int_Tables_number 12
loop_
_symmetry_equiv_pos_as_xyz
'x,y,z'
'-x,-y,-z'
'-x,y,-z'
'x,-y,z'
'x+1/2,y+1/2,z'
'-x+1/2,-y+1/2,-z'
'-x+1/2,y+1/2,-z'
'x+1/2,-y+1/2,z'
loop_
_atom_site_label
_atom_site_type_symbol
_atom_site_fract_x
_atom_site_fract_y
_atom_site_fract_z
_atom_site_occupancy
Zr1 Zr 0.000 0.000 0.000 1
Pt1 Pt 0.000 0.500 0.000 1
Se1 Se 0.250 0.250 0.500 1
```

[5]
ZrPtSe2 after structural relaxation, computed with PBE.

Output
E above lowest polymorph = 156 meV/atom
DOS at the Fermi energy = 1.24 states/eV/f.u.

The structure in CIF format:
```
data_ZrPtSe2
_cell_length_a 13.112
_cell_length_b 3.607
_cell_length_c 4.513
_cell_angle_alpha 90.00
_cell_angle_beta 97.19
_cell_angle_gamma 90.00
_symmetry_space_group_name_H-M 'C 1 2/m 1'
_symmetry_Int_Tables_number 12
loop_
_symmetry_equiv_pos_as_xyz
'x,y,z'
'-x,-y,-z'
'-x,y,-z'
'x,-y,z'
'x+1/2,y+1/2,z'
'-x+1/2,-y+1/2,-z'
'-x+1/2,y+1/2,-z'
'x+1/2,-y+1/2,z'
loop_
_atom_site_label
_atom_site_type_symbol
_atom_site_fract_x
_atom_site_fract_y
_atom_site_fract_z
_atom_site_occupancy
Zr1 Zr 0.000 0.000 0.000 1
Pt1 Pt 0.000 0.500 0.500 1
Se1 Se 0.147 0.500 0.206 1
```

[6]
ZrPtSe after structural relaxation, computed with PBE.

Output
E above lowest polymorph = 213 meV/atom
DOS at the Fermi energy = 1.95 states/eV/f.u.

The structure in CIF format:
```
data_ZrPtSe
_cell_length_a 6.437
_cell_length_b 6.437
_cell_length_c 6.437
_cell_angle_alpha 90.00
_cell_angle_beta 90.00
_cell_angle_gamma 90.00
_symmetry_space_group_name_H-M 'F -4 3 m'
_symmetry_Int_Tables_number 216
_symmetry_space_group_name_Hall 'F -4 2 3'
loop_
_atom_site_label
_atom_site_type_symbol
_atom_site_fract_x
_atom_site_fract_y
_atom_site_fract_z
_atom_site_occupancy
Zr1 Zr 0.000 0.000 0.000 1
Pt1 Pt 0.250 0.250 0.250 1
Se1 Se 0.250 0.250 0.750 1
```

[7]
ZrPtSe2 after structural relaxation, computed with PBE.

Output
E above lowest polymorph = 0 meV/atom
DOS at the Fermi energy = 1.21 states/eV/f.u.

The structure in CIF format:
```
data_ZrPtSe2
_cell_length_a 3.671
_cell_length_b 3.767
_cell_length_c 11.873
_cell_angle_alpha 90.00
_cell_angle_beta 90.00
_cell_angle_gamma 90.00
_symmetry_space_group_name_H-M 'A m m 2'
_symmetry_Int_Tables_number 38
loop_
_symmetry_equiv_pos_as_xyz
'x,y,z'
'-x,-y,z'
'-x,y,z'
'x,-y,z'
'x,y+1/2,z+1/2'
'-x,-y+1/2,z+1/2'
'-x,y+1/2,z+1/2'
'x,-y+1/2,z+1/2'
loop_
_atom_site_label
_atom_site_type_symbol
_atom_site_fract_x
_atom_site_fract_y
_atom_site_fract_z
_atom_site_occupancy
Zr1 Zr 0.000 0.000 0.000 1
Pt1 Pt 0.500 0.000 0.824 1
Se1 Se 0.000 0.000 0.325 1
Se2 Se 0.500 0.000 0.595 1
```

[8]
ZrPtSe3 after structural relaxation, computed with PBE.

Output
E above lowest polymorph = 135 meV/atom
DOS at the Fermi energy = 8.54 states/eV/f.u.

The structure in CIF format:
```
data_ZrPtSe3
_cell_length_a 5.157
_cell_length_b 5.157
_cell_length_c 5.157
_cell_angle_alpha 90.00
_cell_angle_beta 90.00
_cell_angle_gamma 90.00
_symmetry_space_group_name_H-M 'P m -3 m'
_symmetry_Int_Tables_number 221
_symmetry_space_group_name_Hall '-P 4 2 3'
loop_
_atom_site_label
_atom_site_type_symbol
_atom_site_fract_x
_atom_site_fract_y
_atom_site_fract_z
_atom_site_occupancy
Zr1 Zr 0.000 0.000 0.000 1
Pt1 Pt 0.500 0.500 0.500 1
Se1 Se 0.000 0.000 0.500 1
```

[9]
Zr2PtSe after structural relaxation, computed with PBE.

Output
DOS at the Fermi energy = 3.55 states/eV/f.u.

The structure in CIF format:
```
data_Zr2PtSe
_cell_length_a 6.333
_cell_length_b 7.361
_cell_length_c 3.277
_cell_angle_alpha 90.00
_cell_angle_beta 90.00
_cell_angle_gamma 90.00
_symmetry_space_group_name_H-M 'C m m m'
_symmetry_Int_Tables_number 65
_symmetry_space_group_name_Hall '-C 2 2'
loop_
_atom_site_label
_atom_site_type_symbol
_atom_site_fract_x
_atom_site_fract_y
_atom_site_fract_z
_atom_site_occupancy
Zr1 Zr 0.250 0.250 0.000 1
Pt1 Pt 0.000 0.000 0.500 1
Se1 Se 0.000 0.500 0.500 1
```

[10]
Si3Pt4 after structural relaxation, computed with PBE.

Output
E above lowest polymorph = 588 meV/atom
DOS at the Fermi energy = 2.52 states/eV/f.u.

The structure in CIF format:
```
data_Si3Pt4
_cell_length_a 4.8214
_cell_length_b 4.8214
_cell_length_c 5.1999
_cell_angle_alpha 90.00
_cell_angle_beta 90.00
_cell_angle_gamma 120.00
_symmetry_space_group_name_H-M 'P 6/m m m'
_symmetry_Int_Tables_number 191
_symmetry_space_group_name_Hall '-P 6 2'
loop_
_atom_site_label
_atom_site_type_symbol
_atom_site_fract_x
_atom_site_fract_y
_atom_site_fract_z
_atom_site_occupancy
Si1 Si 0.0000 0.5000 0.0000 1
Pt1 Pt 0.0000 0.0000 0.2537 1
Pt2 Pt 0.3333 0.6667 0.5000 1
```

| no. | total magnetic moment (μB/f.u.) | VASP energy (eV per atom) | E_form (uncorrected) (eV per atom) |
| --- | --- | --- | --- |
| 1 | 0.0 | -7.5601 | -0.90 |
| 2 | 0.0 | -6.2604 | -0.23 |
| 3 | 0.0 | -5.9805 | -0.59 |
| 4 | 0.0 | -5.8435 | -0.45 |
| 5 | 0.0 | -6.1727 | -0.78 |
| 6 | 0.0 | -6.7442 | -0.72 |
| 7 | 0.0 | -6.3288 | -0.94 |
| 8 | 0.8 | -4.7360 | 0.27 |
| 9 | 0.0 | -7.5258 | -0.87 |
| 10 | 0.0 | -5.6822 | 0.09 |